[1]
This record from Alexandria via LeMat-Bulk describes an optimized crystal structure of NiAgSnPd. The functional is PBE.

Lattice parameters (Å, degrees): 6.377 6.377 6.377 90.00 90.00 90.00
Space group F-43m (No. 216)
Asymmetric unit:
Ni  0.000  0.000  0.000 x4
Ag  0.250  0.250  0.750 x4
Sn  0.250  0.250  0.250 x4
Pd  0.000  0.000  0.500 x4

final energy = -4.63 eV per atom
DFT formation energy = -171 meV/atom
density of states at the Fermi level = 3.1 states/eV/f.u.
density = 10.034 g cm⁻³


[2]
This record from Alexandria via LeMat-Bulk describes an optimized crystal structure of Sr3NbH. The functional is PBE.

Lattice parameters (Å, degrees): 5.898 5.898 5.898 90.00 90.00 90.00
Space group Pm-3m (No. 221)
Asymmetric unit:
Sr  0.000  0.000  0.500 x3
Nb  0.000  0.000  0.000 x1
H  0.500  0.500  0.500 x1

distance to the lowest polymorph of the same formula = 747 meV per atom
final energy = -2.53 eV per atom
density of states at the Fermi level = 4.8 states/eV/f.u.
density = 2.888 g cm⁻³


[3]
This record from Alexandria via LeMat-Bulk describes an optimized crystal structure of K3DyBi2Te6. The functional is PBE.

Lattice parameters (Å, degrees): 7.915 13.710 8.679 90.00 107.68 90.00
Space group C2/m (No. 12)
Asymmetric unit:
K  0.000  0.000  0.000 x2
K  0.000  0.330  0.000 x4
Dy  0.000  0.500  0.500 x2
Bi  0.000  0.166  0.500 x4
Te  0.234  0.336  0.709 x8
Te  0.242  0.000  0.711 x4

ΔE_f (raw) = -0.879 eV/atom
final energy = -3.75 eV per atom
density of states at the Fermi level = 0.0 states/eV/f.u.
density = 5.416 g cm⁻³


[4]
This record from Alexandria via LeMat-Bulk describes an optimized crystal structure of NaLaBBr2. The functional is PBE.

Lattice parameters (Å, degrees): 5.047 5.047 5.111 90.00 90.00 90.00
Space group P4/mmm (No. 123)
Asymmetric unit:
Na  0.000  0.000  0.000 x1
La  0.500  0.500  0.500 x1
B  0.000  0.000  0.500 x1
Br  0.000  0.500  0.000 x2

ΔE_f (raw) = 0.037 eV/atom
final energy = -3.22 eV per atom
density of states at the Fermi level = 3.0 states/eV/f.u.
density = 4.241 g cm⁻³


[5]
This record from Alexandria via LeMat-Bulk describes an optimized crystal structure of CePmPb2. The functional is PBE.

Lattice parameters (Å, degrees): 3.599 3.599 9.182 90.00 90.00 90.00
Space group P4/mmm (No. 123)
Asymmetric unit:
Ce  0.000  0.000  0.000 x1
Pm  0.000  0.000  0.500 x1
Pb  0.500  0.500  0.251 x2

final energy = -4.98 eV per atom
DFT formation energy = -452 meV/atom
density of states at the Fermi level = 8.6 states/eV/f.u.
density = 9.768 g cm⁻³


[6]
This record from Alexandria via LeMat-Bulk describes an optimized crystal structure of Pr2Nd4Er. The functional is PBE.

Lattice parameters (Å, degrees): 3.6679 3.6679 62.7161 90.00 90.00 120.00
Space group R-3m (No. 166, hexagonal axes)
Asymmetric unit:
Pr  0.0000  0.0000  0.0722 x6
Nd  0.0000  0.0000  0.2128 x6
Nd  0.0000  0.0000  0.3572 x6
Er  0.0000  0.0000  0.5000 x3

final energy = -4.73 eV per atom
DFT formation energy = 13 meV/atom
density of states at the Fermi level = 9.1 states/eV/f.u.
density = 6.995 g cm⁻³


[7]
This record from Alexandria via LeMat-Bulk describes an optimized crystal structure of ZnCrW4. The functional is PBE.

Lattice parameters (Å, degrees): 7.377 7.377 7.377 90.00 90.00 90.00
Space group F-43m (No. 216)
Asymmetric unit:
Zn  0.000  0.000  0.000 x4
Cr  0.250  0.250  0.750 x4
W  0.125  0.125  0.375 x16

final energy = -9.80 eV per atom
DFT formation energy = 657 meV/atom
density of states at the Fermi level = 2.5 states/eV/f.u.
density = 14.108 g cm⁻³


[8]
This record from Alexandria via LeMat-Bulk describes an optimized crystal structure of Sr2In2P. The functional is PBE.

Lattice parameters (Å, degrees): 7.683 7.683 5.158 90.00 90.00 90.00
Space group P4/mbm (No. 127)
Asymmetric unit:
Sr  0.172  0.328  0.000 x4
In  0.136  0.636  0.500 x4
P  0.000  0.000  0.500 x2

final energy = -3.15 eV per atom
DFT formation energy = -297 meV/atom
density of states at the Fermi level = 3.2 states/eV/f.u.
density = 4.755 g cm⁻³


[9]
This record from Alexandria via LeMat-Bulk describes an optimized crystal structure of Sr3CaRh. The functional is PBE.

Lattice parameters (Å, degrees): 8.298 6.888 8.399 90.00 119.57 90.00
Space group P2_1 (No. 4)
Asymmetric unit:
Sr  0.079  0.000  0.157 x2
Sr  0.090  0.985  0.671 x2
Sr  0.418  0.515  0.329 x2
Ca  0.426  0.500  0.851 x2
Rh  0.260  0.750  0.000 x2

distance to the lowest polymorph of the same formula = 2 meV per atom
final energy = -3.08 eV per atom
DFT formation energy = -198 meV/atom
density of states at the Fermi level = 4.3 states/eV/f.u.
density = 3.228 g cm⁻³


[10]
This record from Alexandria via LeMat-Bulk describes an optimized crystal structure of PrZn2. The functional is PBE.

Lattice parameters (Å, degrees): 4.781 4.779 6.179 90.00 112.62 90.00
Space group C2/m (No. 12)
Asymmetric unit:
Pr  0.000  0.000  0.000 x2
Zn  0.191  0.500  0.382 x4

final energy = -2.61 eV per atom
DFT formation energy = -166 meV/atom
density of states at the Fermi level = 2.8 states/eV/f.u.
density = 6.925 g cm⁻³


[11]
This record from Alexandria via LeMat-Bulk describes an optimized crystal structure of Pm3Nd3ScTe8. The functional is PBE.

Lattice parameters (Å, degrees): 8.9002 8.9002 21.8526 90.00 90.00 120.00
Space group R-3m (No. 166, hexagonal axes)
Asymmetric unit:
Pm  0.0000  0.5000  0.0000 x9
Nd  0.0000  0.5000  0.5000 x9
Sc  0.0000  0.0000  0.0000 x3
Te  0.0000  0.0000  0.2508 x6
Te  0.0093  0.5046  0.7469 x18

ΔE_f (raw) = -1.407 eV/atom
final energy = -5.41 eV per atom
density of states at the Fermi level = 7.8 states/eV/f.u.
density = 6.425 g cm⁻³


[12]
This record from Alexandria via LeMat-Bulk describes an optimized crystal structure of LaTbGeH. The functional is PBE.

Lattice parameters (Å, degrees): 4.480 4.480 8.632 90.00 90.00 90.00
Space group P4/nmm (No. 129, origin choice 2)
Asymmetric unit:
La  0.250  0.250  0.127 x2
Tb  0.250  0.750  0.500 x2
Ge  0.250  0.250  0.732 x2
H  0.250  0.750  0.000 x2

final energy = -5.04 eV per atom
density of states at the Fermi level = 2.3 states/eV/f.u.
density = 7.120 g cm⁻³